1.
# MgH5Pd4 PBE-GGA optimized geometry
# SG: No. 59
# DOS(E_F) in states/eV per cell: 3.32
# Uncorrected energy in eV per formula unit: -40.31
data_MgH5Pd4
_cell_length_a 5.440
_cell_length_b 8.020
_cell_length_c 4.696
_cell_angle_alpha 90.00
_cell_angle_beta 90.00
_cell_angle_gamma 90.00
_space_group_name_H-M_alt 'P 1'
_space_group_IT_number 1
_space_group_name_Hall 'P 1'
loop_
_atom_site_label
_atom_site_fract_x
_atom_site_fract_y
_atom_site_fract_z
_atom_site_occupancy
Mg1 0.250 0.250 0.128 1
Mg2 0.750 0.750 0.872 1
H1 0.029 0.561 0.197 1
H2 0.029 0.939 0.197 1
H3 0.250 0.750 0.657 1
H4 0.471 0.561 0.197 1
H5 0.471 0.939 0.197 1
H6 0.529 0.061 0.803 1
H7 0.529 0.439 0.803 1
H8 0.750 0.250 0.343 1
H9 0.971 0.061 0.803 1
H10 0.971 0.439 0.803 1
Pd1 0.003 0.750 0.388 1
Pd2 0.250 0.556 0.881 1
Pd3 0.250 0.944 0.881 1
Pd4 0.497 0.750 0.388 1
Pd5 0.503 0.250 0.612 1
Pd6 0.750 0.056 0.119 1
Pd7 0.750 0.444 0.119 1
Pd8 0.997 0.250 0.612 1

***

2.
# RbSbAsSe2 PBE-GGA optimized geometry
# SG: No. 123
# DOS(E_F) in states/eV per cell: 3.91
# Uncorrected energy in eV per formula unit: -16.91
# E above lowest polymorph in meV per atom: 0
# Formation energy without anion corrections in eV/atom: -0.040
data_RbSbAsSe2
_cell_length_a 5.532
_cell_length_b 5.532
_cell_length_c 5.395
_cell_angle_alpha 90.00
_cell_angle_beta 90.00
_cell_angle_gamma 90.00
_space_group_name_H-M_alt 'P 1'
_space_group_IT_number 1
_space_group_name_Hall 'P 1'
loop_
_atom_site_label
_atom_site_fract_x
_atom_site_fract_y
_atom_site_fract_z
_atom_site_occupancy
Rb1 0.000 0.000 0.000 1
Sb1 0.500 0.500 0.500 1
As1 0.500 0.500 0.000 1
Se1 0.000 0.500 0.500 1
Se2 0.500 0.000 0.500 1

***

3.
# CeDyYMg PBE-GGA optimized geometry
# SG: No. 216
# DOS(E_F) in states/eV per cell: 28.77
# Uncorrected energy in eV per formula unit: -18.23
data_CeDyYMg
_cell_length_a 7.798
_cell_length_b 7.798
_cell_length_c 7.798
_cell_angle_alpha 90.00
_cell_angle_beta 90.00
_cell_angle_gamma 90.00
_space_group_name_H-M_alt 'P 1'
_space_group_IT_number 1
_space_group_name_Hall 'P 1'
loop_
_atom_site_label
_atom_site_fract_x
_atom_site_fract_y
_atom_site_fract_z
_atom_site_occupancy
Ce1 0.000 0.000 0.000 1
Ce2 0.000 0.500 0.500 1
Ce3 0.500 0.000 0.500 1
Ce4 0.500 0.500 0.000 1
Dy1 0.250 0.250 0.250 1
Dy2 0.250 0.750 0.750 1
Dy3 0.750 0.250 0.750 1
Dy4 0.750 0.750 0.250 1
Y1 0.000 0.000 0.500 1
Y2 0.000 0.500 0.000 1
Y3 0.500 0.000 0.000 1
Y4 0.500 0.500 0.500 1
Mg1 0.250 0.250 0.750 1
Mg2 0.250 0.750 0.250 1
Mg3 0.750 0.250 0.250 1
Mg4 0.750 0.750 0.750 1

***

4.
# AlBPd2 PBE-GGA optimized geometry
# SG: No. 122
# DOS(E_F) in states/eV per cell: 4.60
# Uncorrected energy in eV per formula unit: -20.51
# E above lowest polymorph in meV per atom: 128
data_AlBPd2
_cell_length_a 5.393
_cell_length_b 5.393
_cell_length_c 9.438
_cell_angle_alpha 90.00
_cell_angle_beta 90.00
_cell_angle_gamma 90.00
_space_group_name_H-M_alt 'P 1'
_space_group_IT_number 1
_space_group_name_Hall 'P 1'
loop_
_atom_site_label
_atom_site_fract_x
_atom_site_fract_y
_atom_site_fract_z
_atom_site_occupancy
Al1 0.000 0.000 0.000 1
Al2 0.000 0.500 0.250 1
Al3 0.500 0.000 0.750 1
Al4 0.500 0.500 0.500 1
B1 0.000 0.000 0.500 1
B2 0.000 0.500 0.750 1
B3 0.500 0.000 0.250 1
B4 0.500 0.500 0.000 1
Pd1 0.177 0.250 0.625 1
Pd2 0.250 0.677 0.875 1
Pd3 0.250 0.823 0.375 1
Pd4 0.323 0.250 0.125 1
Pd5 0.677 0.750 0.125 1
Pd6 0.750 0.177 0.375 1
Pd7 0.750 0.323 0.875 1
Pd8 0.823 0.750 0.625 1

***

5.
# Sm2Ho4MgSc PBE-GGA optimized geometry
# SG: No. 123
# DOS(E_F) in states/eV per cell: 12.25
# Uncorrected energy in eV per formula unit: -35.39
data_Sm2Ho4MgSc
_cell_length_a 4.933
_cell_length_b 4.933
_cell_length_c 9.839
_cell_angle_alpha 90.00
_cell_angle_beta 90.00
_cell_angle_gamma 90.00
_space_group_name_H-M_alt 'P 1'
_space_group_IT_number 1
_space_group_name_Hall 'P 1'
loop_
_atom_site_label
_atom_site_fract_x
_atom_site_fract_y
_atom_site_fract_z
_atom_site_occupancy
Sm1 0.000 0.000 0.000 1
Sm2 0.500 0.500 0.500 1
Ho1 0.000 0.500 0.246 1
Ho2 0.000 0.500 0.754 1
Ho3 0.500 0.000 0.246 1
Ho4 0.500 0.000 0.754 1
Mg1 0.000 0.000 0.500 1
Sc1 0.500 0.500 0.000 1

***

6.
# Ba8Ge2O PBE-GGA optimized geometry
# SG: No. 12
# DOS(E_F) in states/eV per cell: 7.82
# Uncorrected energy in eV per formula unit: -35.31
# Formation energy without anion corrections in eV/atom: -0.522
data_Ba8Ge2O
_cell_length_a 12.803
_cell_length_b 12.803
_cell_length_c 7.353
_cell_angle_alpha 105.01
_cell_angle_beta 105.01
_cell_angle_gamma 26.14
_space_group_name_H-M_alt 'P 1'
_space_group_IT_number 1
_space_group_name_Hall 'P 1'
loop_
_atom_site_label
_atom_site_fract_x
_atom_site_fract_y
_atom_site_fract_z
_atom_site_occupancy
Ba1 0.061 0.061 0.307 1
Ba2 0.208 0.208 0.828 1
Ba3 0.320 0.320 0.568 1
Ba4 0.433 0.433 0.201 1
Ba5 0.567 0.567 0.799 1
Ba6 0.680 0.680 0.432 1
Ba7 0.792 0.792 0.172 1
Ba8 0.939 0.939 0.693 1
Ge1 0.196 0.196 0.253 1
Ge2 0.804 0.804 0.747 1
O1 0.500 0.500 0.500 1

***

7.
# Ce4Ru PBE-GGA optimized geometry
# SG: No. 221
# DOS(E_F) in states/eV per cell: 19.24
# Uncorrected energy in eV per formula unit: -32.62
# E above lowest polymorph in meV per atom: 166
data_Ce4Ru
_cell_length_a 5.386
_cell_length_b 5.386
_cell_length_c 5.386
_cell_angle_alpha 90.00
_cell_angle_beta 90.00
_cell_angle_gamma 90.00
_space_group_name_H-M_alt 'P 1'
_space_group_IT_number 1
_space_group_name_Hall 'P 1'
loop_
_atom_site_label
_atom_site_fract_x
_atom_site_fract_y
_atom_site_fract_z
_atom_site_occupancy
Ce1 0.000 0.000 0.000 1
Ce2 0.000 0.500 0.500 1
Ce3 0.500 0.000 0.500 1
Ce4 0.500 0.500 0.000 1
Ru1 0.500 0.500 0.500 1